Record 1
# PBE Pu2MgZnRh2, optimized geometry
# Formation energy from the elements, kJ/mol of atoms: -37
# Crystal system: orthorhombic
# Fermi-level density of states, states/eV per atom: 3.114
# Calculated density, g cm⁻³: 10.97
data_Pu2MgZnRh2
_cell_length_a 5.5215
_cell_length_b 15.1536
_cell_length_c 5.6717
_cell_angle_alpha 90.00
_cell_angle_beta 90.00
_cell_angle_gamma 90.00
_symmetry_space_group_name_H-M 'I b a m'
_symmetry_Int_Tables_number 72
_symmetry_space_group_name_Hall '-I 2 2c'
loop_
_atom_site_label
_atom_site_type_symbol
_atom_site_fract_x
_atom_site_fract_y
_atom_site_fract_z
Pu1 Pu 0.2478 0.1738 0.0000
Mg1 Mg 0.0000 0.5000 0.2500
Zn1 Zn 0.0000 0.0000 0.2500
Rh1 Rh 0.2485 0.1284 0.5000

=====

Record 2
# PBE Pu2Mg2Ru, optimized geometry
# Formation energy from the elements, kJ/mol of atoms: -6
# Crystal system: tetragonal
# Fermi-level density of states, states/eV per atom: 2.016
# Calculated density, g cm⁻³: 9.21
data_Pu2Mg2Ru
_cell_length_a 3.2414
_cell_length_b 3.2414
_cell_length_c 21.8773
_cell_angle_alpha 90.00
_cell_angle_beta 90.00
_cell_angle_gamma 90.00
_symmetry_space_group_name_H-M 'I 4/m m m'
_symmetry_Int_Tables_number 139
_symmetry_space_group_name_Hall '-I 4 2'
loop_
_atom_site_label
_atom_site_type_symbol
_atom_site_fract_x
_atom_site_fract_y
_atom_site_fract_z
Pu1 Pu 0.0000 0.0000 0.0815
Mg1 Mg 0.0000 0.0000 0.3007
Ru1 Ru 0.0000 0.0000 0.5000

=====

Please write out number 2 again, unchanged.
# PBE Pu2Mg2Ru, optimized geometry
# Formation energy from the elements, kJ/mol of atoms: -6
# Crystal system: tetragonal
# Fermi-level density of states, states/eV per atom: 2.016
# Calculated density, g cm⁻³: 9.21
data_Pu2Mg2Ru
_cell_length_a 3.2414
_cell_length_b 3.2414
_cell_length_c 21.8773
_cell_angle_alpha 90.00
_cell_angle_beta 90.00
_cell_angle_gamma 90.00
_symmetry_space_group_name_H-M 'I 4/m m m'
_symmetry_Int_Tables_number 139
_symmetry_space_group_name_Hall '-I 4 2'
loop_
_atom_site_label
_atom_site_type_symbol
_atom_site_fract_x
_atom_site_fract_y
_atom_site_fract_z
Pu1 Pu 0.0000 0.0000 0.0815
Mg1 Mg 0.0000 0.0000 0.3007
Ru1 Ru 0.0000 0.0000 0.5000

=====

Among the records above, which one has the lowest formation energy from the elements? Pu2MgZnRh2

=====

What is the Fermi-level density of states in the second record? 2.016 states/eV per atom